! CsZnSn, optimized geometry, DFT PBE-GGA; values from VASP
! **SG**: No. 216
! **Relative energy among the computed polymorphs**: 0 meV/atom
&SYSTEM
  ibrav = 0, nat = 3, ntyp = 3
/
ATOMIC_SPECIES
Cs 132.91 Cs.upf
Sn 118.71 Sn.upf
Zn 65.41 Zn.upf
ATOMIC_POSITIONS crystal
Cs 0.250 0.250 0.250
Sn 0.000 0.000 0.000
Zn 0.750 0.750 0.750
CELL_PARAMETERS angstrom
0.000 3.945 3.945
3.945 0.000 3.945
3.945 3.945 0.000